Compound: HfCdAsSe2
Source: Alexandria
Functional: meta-GGA SCAN
Structure: single point on PBEsol structure

Calculated values
The volume is 26.58 Å³/atom. The calculated total energy is -154.57 eV/cell. The space group is P4/mmm (123). The density of states at the Fermi level comes out at 0.851 states/eV/atom. The uncorrected formation energy is -21.88 kJ per mole of atoms.

Unit cell a=5.055 b=5.055 c=5.200 alpha=90.00 beta=90.00 gamma=90.00
Fractional coordinates of all 5 atoms:
Hf 0.000 0.000 0.000
Cd 0.500 0.500 0.500
As 0.000 0.000 0.500
Se 0.000 0.500 0.000
Se 0.500 0.000 0.000

Compound: Sr2AgPt
Source: Alexandria
Functional: meta-GGA SCAN
Structure: single point on PBEsol structure

Calculated values
The volume is 25.36 Å³/atom. The calculated total energy is -593.77 eV/cell. The space group is Fm-3m (225). The density of states at the Fermi level comes out at 0.501 states/eV/atom. The value obtained for the energy of formation is -56.23 kJ/mol of atoms. The calculation puts the distance to the lowest polymorph of the same formula at 71 meV per atom.

Unit cell a=7.403 b=7.403 c=7.403 alpha=90.00 beta=90.00 gamma=90.00
Fractional coordinates of all 16 atoms:
Sr 0.250 0.250 0.250
Sr 0.250 0.250 0.750
Sr 0.250 0.750 0.250
Sr 0.250 0.750 0.750
Sr 0.750 0.250 0.250
Sr 0.750 0.250 0.750
Sr 0.750 0.750 0.250
Sr 0.750 0.750 0.750
Ag 0.000 0.000 0.000
Ag 0.000 0.500 0.500
Ag 0.500 0.000 0.500
Ag 0.500 0.500 0.000
Pt 0.000 0.000 0.500
Pt 0.000 0.500 0.000
Pt 0.500 0.000 0.000
Pt 0.500 0.500 0.500

Compound: SrTa2Ag
Source: Alexandria
Functional: meta-GGA SCAN
Structure: single point on PBEsol structure

Calculated values
The volume is 20.35 Å³/atom. The calculated total energy is -732.67 eV/cell. The space group is F-43m (216). The density of states at the Fermi level comes out at 1.489 states/eV/atom. The value obtained for the energy of formation is 87.83 kJ/mol of atoms. The calculation puts the distance to the lowest polymorph of the same formula at 223 meV per atom.

Unit cell a=6.880 b=6.880 c=6.880 alpha=90.00 beta=90.00 gamma=90.00
Fractional coordinates of all 16 atoms:
Sr 0.000 0.000 0.000
Sr 0.000 0.500 0.500
Sr 0.500 0.000 0.500
Sr 0.500 0.500 0.000
Ta 0.000 0.000 0.500
Ta 0.000 0.500 0.000
Ta 0.250 0.250 0.250
Ta 0.250 0.750 0.750
Ta 0.500 0.000 0.000
Ta 0.500 0.500 0.500
Ta 0.750 0.250 0.750
Ta 0.750 0.750 0.250
Ag 0.250 0.250 0.750
Ag 0.250 0.750 0.250
Ag 0.750 0.250 0.250
Ag 0.750 0.750 0.750

Compound: ZrOsPt2
Source: Alexandria
Functional: meta-GGA SCAN
Structure: single point on PBEsol structure

Calculated values
The volume is 15.85 Å³/atom. The calculated total energy is -729.44 eV/cell. The space group is R3m (160). The density of states at the Fermi level comes out at 1.001 states/eV/atom. The value obtained for the energy of formation is -4.38 kJ/mol of atoms.

Unit cell a=2.801 b=2.801 c=27.996 alpha=90.00 beta=90.00 gamma=120.00
Fractional coordinates of all 12 atoms:
Zr 0.000 0.000 0.000
Zr 0.333 0.667 0.667
Zr 0.667 0.333 0.333
Os 0.000 0.000 0.755
Os 0.333 0.667 0.421
Os 0.667 0.333 0.088
Pt 0.000 0.000 0.249
Pt 0.000 0.000 0.499
Pt 0.333 0.667 0.165
Pt 0.333 0.667 0.916
Pt 0.667 0.333 0.582
Pt 0.667 0.333 0.832

Compound: FeTc2Os
Source: Alexandria
Functional: meta-GGA SCAN
Structure: single point on PBEsol structure

Calculated values
The volume is 13.10 Å³/atom. The calculated total energy is -319.65 eV/cell. The space group is I-4m2 (119). The density of states at the Fermi level comes out at 0.890 states/eV/atom. The value obtained for the energy of formation is 7.37 kJ/mol of atoms. The calculation puts the distance to the lowest polymorph of the same formula at 0 meV per atom.

Unit cell a=3.760 b=3.760 c=7.414 alpha=90.00 beta=90.00 gamma=90.00
Fractional coordinates of all 8 atoms:
Fe 0.000 0.000 0.000
Fe 0.500 0.500 0.500
Tc 0.000 0.000 0.500
Tc 0.000 0.500 0.750
Tc 0.500 0.000 0.250
Tc 0.500 0.500 0.000
Os 0.000 0.500 0.250
Os 0.500 0.000 0.750

Compound: BaAlPS2
Source: Alexandria
Functional: meta-GGA SCAN
Structure: single point on PBEsol structure

Calculated values
The volume is 21.76 Å³/atom. The calculated total energy is -81.77 eV/cell. The space group is P4/mmm (123). The density of states at the Fermi level comes out at 0.643 states/eV/atom. The uncorrected formation energy is -92.88 kJ per mole of atoms. The calculation puts the distance to the lowest polymorph of the same formula at 0 meV per atom.

Unit cell a=4.849 b=4.849 c=4.628 alpha=90.00 beta=90.00 gamma=90.00
Fractional coordinates of all 5 atoms:
Ba 0.000 0.000 0.000
Al 0.500 0.500 0.500
P 0.500 0.500 0.000
S 0.000 0.500 0.500
S 0.500 0.000 0.500

Compound: GdScS3
Source: Alexandria
Functional: meta-GGA SCAN
Structure: single point on PBEsol structure

Calculated values
The volume is 20.69 Å³/atom. The calculated total energy is -452.87 eV/cell. The space group is Pnma (62). The density of states at the Fermi level comes out at 0.000 states/eV/atom. The uncorrected formation energy is -217.66 kJ per mole of atoms.

Unit cell a=7.012 b=9.370 c=6.299 alpha=90.00 beta=90.00 gamma=90.00
Fractional coordinates of all 20 atoms:
Gd 0.105 0.250 0.042
Gd 0.395 0.750 0.542
Gd 0.605 0.250 0.458
Gd 0.895 0.750 0.958
Sc 0.000 0.000 0.500
Sc 0.000 0.500 0.500
Sc 0.500 0.000 0.000
Sc 0.500 0.500 0.000
S 0.044 0.750 0.358
S 0.183 0.568 0.828
S 0.183 0.932 0.828
S 0.317 0.068 0.328
S 0.317 0.432 0.328
S 0.456 0.250 0.858
S 0.544 0.750 0.142
S 0.683 0.568 0.672
S 0.683 0.932 0.672
S 0.817 0.068 0.172
S 0.817 0.432 0.172
S 0.956 0.250 0.642

Compound: Cu2BiC
Source: Alexandria
Functional: meta-GGA SCAN
Structure: single point on PBEsol structure

Calculated values
The volume is 14.58 Å³/atom. The calculated total energy is -452.08 eV/cell. The space group is Fm-3m (225). The density of states at the Fermi level comes out at 0.201 states/eV/atom. The value obtained for the energy of formation is 146.11 kJ/mol of atoms.

Unit cell a=6.155 b=6.155 c=6.155 alpha=90.00 beta=90.00 gamma=90.00
Fractional coordinates of all 16 atoms:
Cu 0.250 0.250 0.250
Cu 0.250 0.250 0.750
Cu 0.250 0.750 0.250
Cu 0.250 0.750 0.750
Cu 0.750 0.250 0.250
Cu 0.750 0.250 0.750
Cu 0.750 0.750 0.250
Cu 0.750 0.750 0.750
Bi 0.000 0.000 0.000
Bi 0.000 0.500 0.500
Bi 0.500 0.000 0.500
Bi 0.500 0.500 0.000
C 0.000 0.000 0.500
C 0.000 0.500 0.000
C 0.500 0.000 0.000
C 0.500 0.500 0.500

Compound: ZrNiTe3
Source: Alexandria
Functional: meta-GGA SCAN
Structure: single point on PBEsol structure

Calculated values
The volume is 32.95 Å³/atom. The calculated total energy is -155.92 eV/cell. The space group is Pm-3m (221). The density of states at the Fermi level comes out at 2.089 states/eV/atom. The uncorrected formation energy is 52.20 kJ per mole of atoms.

Unit cell a=5.482 b=5.482 c=5.482 alpha=90.00 beta=90.00 gamma=90.00
Fractional coordinates of all 5 atoms:
Zr 0.000 0.000 0.000
Ni 0.500 0.500 0.500
Te 0.000 0.000 0.500
Te 0.000 0.500 0.000
Te 0.500 0.000 0.000

Compound: KRb2BaO
Source: Alexandria
Functional: meta-GGA SCAN
Structure: single point on PBEsol structure

Calculated values
The volume is 40.99 Å³/atom. The calculated total energy is -97.15 eV/cell. The space group is P4/mmm (123). The density of states at the Fermi level comes out at 0.490 states/eV/atom. The uncorrected formation energy is -30.19 kJ per mole of atoms.

Unit cell a=5.974 b=5.974 c=5.744 alpha=90.00 beta=90.00 gamma=90.00
Fractional coordinates of all 5 atoms:
K 0.000 0.000 0.000
Rb 0.000 0.500 0.500
Rb 0.500 0.000 0.500
Ba 0.500 0.500 0.000
O 0.000 0.000 0.500

Compound: Mg5Ru
Source: Alexandria
Functional: meta-GGA SCAN
Structure: single point on PBEsol structure

Calculated values
The volume is 19.16 Å³/atom. The calculated total energy is -119.84 eV/cell. The space group is C2/m (12). The density of states at the Fermi level comes out at 0.405 states/eV/atom. The value obtained for the energy of formation is -3.62 kJ/mol of atoms. The calculation puts the distance to the lowest polymorph of the same formula at 0 meV per atom.

Unit cell a=10.638 b=3.363 c=6.793 alpha=90.00 beta=108.93 gamma=90.00
Fractional coordinates of all 12 atoms:
Mg 0.000 0.000 0.000
Mg 0.148 0.500 0.358
Mg 0.157 0.500 0.795
Mg 0.343 0.000 0.205
Mg 0.352 0.000 0.642
Mg 0.500 0.500 0.000
Mg 0.648 0.000 0.358
Mg 0.657 0.000 0.795
Mg 0.843 0.500 0.205
Mg 0.852 0.500 0.642
Ru 0.000 0.000 0.500
Ru 0.500 0.500 0.500

Compound: LuFe10Si2
Source: Alexandria
Functional: meta-GGA SCAN
Structure: single point on PBEsol structure

Calculated values
The volume is 11.80 Å³/atom. The calculated total energy is -259.89 eV/cell. The space group is Immm (71). The density of states at the Fermi level comes out at 0.538 states/eV/atom. The uncorrected formation energy is -23.91 kJ per mole of atoms. The calculation puts the distance to the lowest polymorph of the same formula at 0 meV per atom.

Unit cell a=6.203 b=6.203 c=6.203 alpha=136.14 beta=98.39 gamma=97.65
Fractional coordinates of all 13 atoms:
Lu 0.000 0.000 0.000
Fe 0.000 0.000 0.500
Fe 0.000 0.500 0.000
Fe 0.209 0.500 0.709
Fe 0.354 0.000 0.354
Fe 0.361 0.361 0.000
Fe 0.500 0.000 0.000
Fe 0.500 0.500 0.500
Fe 0.639 0.639 0.000
Fe 0.646 0.000 0.646
Fe 0.791 0.500 0.291
Si 0.233 0.733 0.500
Si 0.767 0.267 0.500